MnFeRh2 after structural relaxation. Source: the Alexandria database, functional PBE.

Output
SG = No. 35

a b c (Å): 2.6481 2.6481 8.6259
angles (deg): 90.00 90.00 116.58
Closest atoms and distances in Å follow each position.
Sites, in units of the cell vectors:
Fe 0.0000 0.0000 0.5065  2 Mn 2.48, 2 Rh 2.52, 4 Fe 2.65
Mn 0.5000 0.5000 0.7440  2 Fe 2.48, 2 Rh 2.52, 4 Mn 2.65
Rh 0.5000 0.5000 0.2624  2 Fe 2.52, 8 Rh 2.65-2.78
Rh 0.0000 0.0000 0.9871  2 Mn 2.52, 8 Rh 2.65-2.78

MnFe4Rh15 after structural relaxation. Source: the Alexandria database, functional PBE.

Output
SG = No. 123

a b c (Å): 3.8135 3.8135 18.9738
angles (deg): 90.00 90.00 90.00
Closest atoms and distances in Å follow each position.
Sites, in units of the cell vectors:
Rh 0.0000 0.5000 0.3000  8 Rh 2.69-2.70, 4 Fe 2.69
Rh 0.0000 0.5000 0.5000  8 Rh 2.69-2.70, 4 Fe 2.69
Rh 0.5000 0.0000 0.5000  8 Rh 2.69-2.70, 4 Fe 2.69
Rh 0.5000 0.5000 0.6000  8 Rh 2.69, 4 Fe 2.70
Rh 0.0000 0.5000 0.7000  8 Rh 2.69-2.70, 4 Fe 2.69
Rh 0.0000 0.5000 0.1005  2 Fe 2.68, 8 Rh 2.69-2.70, 2 Mn 2.70
Rh 0.5000 0.5000 0.0000  8 Rh 2.70, 4 Mn 2.70
Rh 0.5000 0.0000 0.8995  2 Fe 2.68, 8 Rh 2.69-2.70, 2 Mn 2.70
Rh 0.5000 0.0000 0.3000  8 Rh 2.69-2.70, 4 Fe 2.69
Rh 0.5000 0.5000 0.2002  8 Rh 2.69, 4 Fe 2.70
Rh 0.5000 0.5000 0.7998  8 Rh 2.69, 4 Fe 2.70
Rh 0.5000 0.0000 0.1005  2 Fe 2.68, 8 Rh 2.69-2.70, 2 Mn 2.70
Rh 0.5000 0.0000 0.7000  8 Rh 2.69-2.70, 4 Fe 2.69
Rh 0.0000 0.5000 0.8995  2 Fe 2.68, 8 Rh 2.69-2.70, 2 Mn 2.70
Rh 0.5000 0.5000 0.4000  8 Rh 2.69, 4 Fe 2.70
Fe 0.0000 0.0000 0.8001  12 Rh 2.68-2.70
Fe 0.0000 0.0000 0.1999  12 Rh 2.68-2.70
Fe 0.0000 0.0000 0.6000  12 Rh 2.69-2.70
Fe 0.0000 0.0000 0.4000  12 Rh 2.69-2.70
Mn 0.0000 0.0000 0.0000  12 Rh 2.70

MnFeRh14 after structural relaxation. Source: the Alexandria database, functional PBE.

Output
SG = No. 123

a b c (Å): 5.4098 5.4098 7.6594
angles (deg): 90.00 90.00 90.00
Closest atoms and distances in Å follow each position.
Sites, in units of the cell vectors:
Rh 0.1253 0.1253 0.2524  1 Fe 2.69, 10 Rh 2.69-2.72, 1 Mn 2.70
Rh 0.6248 0.1253 0.7476  1 Fe 2.69, 10 Rh 2.69-2.72, 1 Mn 2.70
Rh 0.3750 0.3750 0.0000  12 Rh 2.70-2.72
Rh 0.6247 0.6247 0.7476  1 Fe 2.69, 10 Rh 2.69-2.72, 1 Mn 2.70
Rh 0.8750 0.8750 0.0000  12 Rh 2.70-2.72
Rh 0.3750 0.8750 0.5000  8 Rh 2.69, 2 Mn 2.70, 2 Fe 2.70
Rh 0.6247 0.6247 0.2524  1 Fe 2.69, 10 Rh 2.69-2.72, 1 Mn 2.70
Rh 0.8750 0.3750 0.5000  8 Rh 2.69, 2 Mn 2.70, 2 Fe 2.70
Rh 0.1253 0.1253 0.7476  1 Fe 2.69, 10 Rh 2.69-2.72, 1 Mn 2.70
Rh 0.8750 0.3750 0.0000  12 Rh 2.70-2.72
Rh 0.1253 0.6248 0.7476  1 Fe 2.69, 10 Rh 2.69-2.72, 1 Mn 2.70
Rh 0.1253 0.6248 0.2524  1 Fe 2.69, 10 Rh 2.69-2.72, 1 Mn 2.70
Rh 0.3750 0.8750 0.0000  12 Rh 2.70-2.72
Rh 0.6248 0.1253 0.2524  1 Fe 2.69, 10 Rh 2.69-2.72, 1 Mn 2.70
Mn 0.8750 0.8750 0.5000  12 Rh 2.70
Fe 0.3750 0.3750 0.5000  12 Rh 2.69-2.70

MnFeRh2 after structural relaxation. Source: the Alexandria database, functional PBE.

Output
SG = No. 216

a b c (Å): 4.2773 4.2773 4.2773
angles (deg): 60.00 60.00 60.00
Closest atoms and distances in Å follow each position.
Sites, in units of the cell vectors:
Rh 0.0000 0.0000 0.0000  4 Rh 2.62, 4 Mn 2.62
Rh 0.7500 0.7500 0.7500  4 Fe 2.62, 4 Rh 2.62
Fe 0.5000 0.5000 0.5000  4 Mn 2.62, 4 Rh 2.62
Mn 0.2500 0.2500 0.2500  4 Fe 2.62, 4 Rh 2.62

| no. | uncorrected energy (eV per atom) | N(E_F) (states/eV/cell) |
| --- | --- | --- |
| 1 | -7.929 | 5.24 |
| 2 | -7.724 | 25.19 |
| 3 | -7.565 | 22.20 |
| 4 | -7.931 | 6.85 |